Entry 1:
## Th4As5O (GGA-PBE)

Data for a geometry-optimized Th4As5O structure.

a b c (Å): 8.650 8.650 7.504
angles (deg): 92.94 92.94 27.32
Positions (direct):
Th 0.010 0.010 0.216
Th 0.282 0.282 0.255
Th 0.718 0.718 0.745
Th 0.990 0.990 0.784
As 0.149 0.149 0.495
As 0.152 0.152 0.986
As 0.500 0.500 0.500
As 0.848 0.848 0.014
As 0.851 0.851 0.505
O 0.500 0.500 0.000

Density of states at the Fermi level (states/eV/f.u.): 4.06
Formation energy (no corrections) (eV/f.u.): -12.29
Crystal system: monoclinic

=====

Entry 2:
## LiZn2Mo (GGA-PBE)

Data for a geometry-optimized LiZn2Mo structure.

a b c (Å): 3.424 3.999 8.729
angles (deg): 90.00 90.00 90.00
Positions (direct):
Li 0.000 0.000 0.000
Li 0.500 0.500 0.000
Zn 0.000 0.000 0.514
Zn 0.000 0.500 0.760
Zn 0.500 0.000 0.760
Zn 0.500 0.500 0.514
Mo 0.000 0.500 0.268
Mo 0.500 0.000 0.268

ΔE_f (eV/atom): 0.106
Density of states at the Fermi level (states/eV/f.u.): 2.11
Polymorph energy (0 for the lowest one) (meV per atom): 120
Crystal system: orthorhombic

=====

Entry 3:
## PrAlGa2Ge (GGA-PBE)

Data for a geometry-optimized PrAlGa2Ge structure.

a b c (Å): 6.697 6.697 9.081
angles (deg): 90.00 90.00 146.74
Positions (direct):
Pr 0.163 0.837 0.750
Pr 0.837 0.163 0.250
Al 0.000 0.000 0.000
Al 0.000 0.000 0.500
Ga 0.183 0.817 0.097
Ga 0.183 0.817 0.403
Ga 0.817 0.183 0.597
Ga 0.817 0.183 0.903
Ge 0.455 0.545 0.750
Ge 0.545 0.455 0.250

ΔE_f (eV/atom): -0.178
Density of states at the Fermi level (states/eV/f.u.): 2.03
Crystal system: orthorhombic

=====

Entry 4:
## RbTlC2O6 (GGA-PBE)

Data for a geometry-optimized RbTlC2O6 structure.

a b c (Å): 6.671 6.671 7.316
angles (deg): 106.29 106.29 93.47
Positions (direct):
Rb 0.102 0.898 0.750
Rb 0.898 0.102 0.250
Tl 0.355 0.645 0.250
Tl 0.645 0.355 0.750
C 0.171 0.387 0.770
C 0.387 0.171 0.270
C 0.613 0.829 0.730
C 0.829 0.613 0.230
O 0.027 0.694 0.304
O 0.245 0.566 0.907
O 0.272 0.294 0.185
O 0.294 0.272 0.685
O 0.306 0.973 0.196
O 0.434 0.755 0.593
O 0.566 0.245 0.407
O 0.694 0.027 0.804
O 0.706 0.728 0.315
O 0.728 0.706 0.815
O 0.755 0.434 0.093
O 0.973 0.306 0.696

Formation energy (no corrections) (eV/f.u.): -13.21
Crystal system: monoclinic

=====

Entry 5:
## NdPuHgRu (GGA-PBE)

Data for a geometry-optimized NdPuHgRu structure.

a b c (Å): 3.392 3.392 8.271
angles (deg): 90.00 90.00 90.00
Positions (direct):
Nd 0.000 0.000 0.000
Pu 0.000 0.000 0.575
Hg 0.500 0.500 0.291
Ru 0.500 0.500 0.772

ΔE_f (eV/atom): -0.216
Density of states at the Fermi level (states/eV/f.u.): 8.74
Polymorph energy (0 for the lowest one) (meV per atom): 0
Crystal system: tetragonal

=====

Entry 6:
## PrDy10Th4 (GGA-PBE)

Data for a geometry-optimized PrDy10Th4 structure.

a b c (Å): 8.712 8.712 8.712
angles (deg): 112.66 112.66 103.26
Positions (direct):
Pr 0.000 0.000 0.000
Dy 0.131 0.460 0.904
Dy 0.227 0.131 0.671
Dy 0.250 0.750 0.500
Dy 0.444 0.773 0.904
Dy 0.460 0.556 0.329
Dy 0.540 0.444 0.671
Dy 0.556 0.227 0.096
Dy 0.750 0.250 0.500
Dy 0.773 0.869 0.329
Dy 0.869 0.540 0.096
Th 0.065 0.339 0.403
Th 0.339 0.935 0.274
Th 0.661 0.065 0.726
Th 0.935 0.661 0.597

ΔE_f (eV/atom): 0.371
Density of states at the Fermi level (states/eV/f.u.): 23.51
Crystal system: tetragonal

=====

Entry 7:
## Na2HgGe (GGA-PBE)

Data for a geometry-optimized Na2HgGe structure.

a b c (Å): 3.163 3.163 9.388
angles (deg): 90.00 90.00 90.00
Positions (direct):
Na 0.000 0.000 0.237
Na 0.000 0.000 0.763
Hg 0.500 0.500 0.500
Ge 0.500 0.500 0.000

ΔE_f (eV/atom): -0.084
Density of states at the Fermi level (states/eV/f.u.): 1.19
Crystal system: tetragonal

=====

Entry 8:
## CaAg2Pd (GGA-PBE)

Data for a geometry-optimized CaAg2Pd structure.

a b c (Å): 4.201 4.201 4.393
angles (deg): 90.00 90.00 90.00
Positions (direct):
Ca 0.000 0.000 0.000
Ag 0.000 0.500 0.500
Ag 0.500 0.000 0.500
Pd 0.500 0.500 0.000

ΔE_f (eV/atom): -0.326
Density of states at the Fermi level (states/eV/f.u.): 1.90
Polymorph energy (0 for the lowest one) (meV per atom): 19
Crystal system: tetragonal

=====

Entry 9:
## BaLa2Si (GGA-PBE)

Data for a geometry-optimized BaLa2Si structure.

a b c (Å): 3.984 3.984 33.192
angles (deg): 90.00 90.00 120.00
Positions (direct):
Ba 0.000 0.000 0.000
Ba 0.333 0.667 0.667
Ba 0.667 0.333 0.333
La 0.000 0.000 0.538
La 0.000 0.000 0.780
La 0.333 0.667 0.205
La 0.333 0.667 0.447
La 0.667 0.333 0.114
La 0.667 0.333 0.872
Si 0.000 0.000 0.265
Si 0.333 0.667 0.931
Si 0.667 0.333 0.598

Density of states at the Fermi level (states/eV/f.u.): 4.91
Formation energy (no corrections) (eV/f.u.): 0.13
Crystal system: trigonal

=====

Entry 10:
## NdThGaTc (GGA-PBE)

Data for a geometry-optimized NdThGaTc structure.

a b c (Å): 7.253 7.253 7.253
angles (deg): 90.00 90.00 90.00
Positions (direct):
Nd 0.000 0.000 0.000
Nd 0.000 0.500 0.500
Nd 0.500 0.000 0.500
Nd 0.500 0.500 0.000
Th 0.000 0.000 0.500
Th 0.000 0.500 0.000
Th 0.500 0.000 0.000
Th 0.500 0.500 0.500
Ga 0.250 0.250 0.250
Ga 0.250 0.750 0.750
Ga 0.750 0.250 0.750
Ga 0.750 0.750 0.250
Tc 0.250 0.250 0.750
Tc 0.250 0.750 0.250
Tc 0.750 0.250 0.250
Tc 0.750 0.750 0.750

ΔE_f (eV/atom): -0.141
Density of states at the Fermi level (states/eV/f.u.): 2.52
Polymorph energy (0 for the lowest one) (meV per atom): 192
Crystal system: cubic

=====

Entry 11:
## La3Dy2Y5 (GGA-PBE)

Data for a geometry-optimized La3Dy2Y5 structure.

a b c (Å): 9.901 9.901 9.309
angles (deg): 108.49 108.49 113.72
Positions (direct):
La 0.019 0.272 0.049
La 0.232 0.768 0.750
La 0.272 0.019 0.549
La 0.728 0.981 0.451
La 0.768 0.232 0.250
La 0.981 0.728 0.951
Dy 0.233 0.470 0.459
Dy 0.470 0.233 0.959
Dy 0.530 0.767 0.041
Dy 0.767 0.530 0.541
Y 0.025 0.975 0.750
Y 0.146 0.374 0.769
Y 0.275 0.725 0.250
Y 0.374 0.146 0.269
Y 0.471 0.529 0.250
Y 0.529 0.471 0.750
Y 0.626 0.854 0.731
Y 0.725 0.275 0.750
Y 0.854 0.626 0.231
Y 0.975 0.025 0.250

ΔE_f (eV/atom): 0.182
Density of states at the Fermi level (states/eV/f.u.): 17.57
Crystal system: monoclinic

=====

Entry 12:
## TaNbCd3 (GGA-PBE)

Data for a geometry-optimized TaNbCd3 structure.

a b c (Å): 5.183 5.183 5.183
angles (deg): 90.00 90.00 90.00
Positions (direct):
Ta 0.000 0.000 0.000
Nb 0.500 0.500 0.500
Cd 0.000 0.000 0.500
Cd 0.000 0.500 0.000
Cd 0.500 0.000 0.000

ΔE_f (eV/atom): 1.801
Density of states at the Fermi level (states/eV/f.u.): 3.41
Polymorph energy (0 for the lowest one) (meV per atom): 0
Crystal system: cubic

=====

no.,total magnetic moment (μB/cell)
1,0.000
2,0.000
3,0.000
4,0.000
5,5.312
6,0.000
7,0.000
8,0.000
9,1.939
10,0.000
11,0.000
12,0.000